[1]
RuRhS: relaxed, PBE.

## Properties
Energy relative to the elements, uncorrected: 0.1 eV/f.u.
DOS at the Fermi energy: 1.2354 states/eV per atom
SG: Pmmn, No. 59

a b c (Å): 2.9194 4.5628 6.5165
angles (deg): 90.00 90.00 90.00
With the nearest neighbours (Å) after each atom.
Positions (direct):
Ru 0.2500 0.2500 0.1930  4 S 2.36-2.37
Ru 0.7500 0.7500 0.8070  4 S 2.36-2.37
Rh 0.2500 0.7500 0.4525  1 S 2.35
Rh 0.7500 0.2500 0.5475  1 S 2.35
S 0.2500 0.7500 0.0922  1 Rh 2.35, 4 Ru 2.36-2.37
S 0.7500 0.2500 0.9078  1 Rh 2.35, 4 Ru 2.36-2.37


[2]
RuRh2SeS: relaxed, PBE.

## Properties
Energy relative to the elements, uncorrected: 4.9 eV/f.u.
DOS at the Fermi energy: 0.9836 states/eV per atom
SG: P4/mmm, No. 123

a b c (Å): 4.5795 4.5795 4.5894
angles (deg): 90.00 90.00 90.00
With the nearest neighbours (Å) after each atom.
Positions (direct):
Ru 0.0000 0.0000 0.0000  2 Se 2.29
Rh 0.0000 0.5000 0.5000  2 Se 2.29
Rh 0.5000 0.0000 0.5000  2 Se 2.29
Se 0.0000 0.0000 0.5000  4 Rh 2.29, 2 Ru 2.29
S 0.5000 0.5000 0.0000  4 Ru 3.24, 8 Rh 3.24


[3]
TcRuRh2S: relaxed, PBE.

## Properties
Energy relative to the elements, uncorrected: 8.0 eV/f.u.
DOS at the Fermi energy: 1.9179 states/eV per atom
SG: P4/mmm, No. 123

a b c (Å): 4.6776 4.6776 4.6270
angles (deg): 90.00 90.00 90.00
With the nearest neighbours (Å) after each atom.
Positions (direct):
Tc 0.0000 0.0000 0.0000  2 Ru 2.31, 4 Rh 2.34
Ru 0.0000 0.0000 0.5000  2 Tc 2.31
Rh 0.0000 0.5000 0.0000  2 Tc 2.34
Rh 0.5000 0.0000 0.0000  2 Tc 2.34
S 0.5000 0.5000 0.5000  8 Rh 3.29, 4 Ru 3.31


Number 1: total magnetic moment 0.000 μB/atom. Number 2: total magnetic moment 0.382 μB/atom. Number 3: total magnetic moment 0.200 μB/atom.